1.
# ScNiPt2 | Alexandria via LeMat-Bulk | PBE | optimized geometry
# Formation energy from the elements = -1.8 eV per formula unit
# Final energy = -6.50 eV/atom
data_ScNiPt2
_chemical_formula_sum 'Sc4 Ni4 Pt8'
_symmetry_space_group_name_H-M 'P 1'
_symmetry_Int_Tables_number 1
_symmetry_space_group_name_Hall 'P 1'
_cell_length_a 3.879
_cell_length_b 3.879
_cell_length_c 17.858
_cell_angle_alpha 90.00
_cell_angle_beta 90.00
_cell_angle_gamma 90.00
loop_
_atom_site_label
_atom_site_fract_x
_atom_site_fract_y
_atom_site_fract_z
_atom_site_occupancy
Sc1 0.000 0.000 0.000 1
Sc2 0.000 0.500 0.250 1
Sc3 0.500 0.000 0.750 1
Sc4 0.500 0.500 0.500 1
Ni1 0.000 0.000 0.500 1
Ni2 0.000 0.500 0.750 1
Ni3 0.500 0.000 0.250 1
Ni4 0.500 0.500 0.000 1
Pt1 0.234 0.250 0.625 1
Pt2 0.250 0.734 0.875 1
Pt3 0.250 0.766 0.375 1
Pt4 0.266 0.250 0.125 1
Pt5 0.734 0.750 0.125 1
Pt6 0.750 0.234 0.375 1
Pt7 0.750 0.266 0.875 1
Pt8 0.766 0.750 0.625 1

=====

2.
# YHo2Ga6 | Alexandria via LeMat-Bulk | PBE | optimized geometry
# Formation energy from the elements = -5.7 eV per formula unit
# Energy above the most stable polymorph in this dataset = 0.00 kcal/mol of atoms
# Final energy = -4.38 eV/atom
data_YHo2Ga6
_chemical_formula_sum 'Y1 Ho2 Ga6'
_symmetry_space_group_name_H-M 'P 1'
_symmetry_Int_Tables_number 1
_symmetry_space_group_name_Hall 'P 1'
_cell_length_a 7.460
_cell_length_b 7.460
_cell_length_c 3.821
_cell_angle_alpha 90.00
_cell_angle_beta 90.00
_cell_angle_gamma 120.00
loop_
_atom_site_label
_atom_site_fract_x
_atom_site_fract_y
_atom_site_fract_z
_atom_site_occupancy
Y1 0.000 0.000 0.000 1
Ho1 0.333 0.667 0.000 1
Ho2 0.667 0.333 0.000 1
Ga1 0.000 0.334 0.500 1
Ga2 0.000 0.666 0.500 1
Ga3 0.334 0.000 0.500 1
Ga4 0.334 0.334 0.500 1
Ga5 0.666 0.000 0.500 1
Ga6 0.666 0.666 0.500 1

=====

3.
# KInPbCl4 | Alexandria via LeMat-Bulk | PBE | optimized geometry
# Formation energy from raw total energies = -1.2426 eV per atom
# Final energy = -3.38 eV/atom
data_KInPbCl4
_chemical_formula_sum 'K2 In2 Pb2 Cl8'
_symmetry_space_group_name_H-M 'P 1'
_symmetry_Int_Tables_number 1
_symmetry_space_group_name_Hall 'P 1'
_cell_length_a 5.648
_cell_length_b 5.648
_cell_length_c 16.163
_cell_angle_alpha 90.00
_cell_angle_beta 90.00
_cell_angle_gamma 90.00
loop_
_atom_site_label
_atom_site_fract_x
_atom_site_fract_y
_atom_site_fract_z
_atom_site_occupancy
K1 0.000 0.000 0.000 1
K2 0.500 0.500 0.500 1
In1 0.000 0.000 0.716 1
In2 0.500 0.500 0.216 1
Pb1 0.000 0.000 0.364 1
Pb2 0.500 0.500 0.864 1
Cl1 0.000 0.000 0.192 1
Cl2 0.000 0.000 0.552 1
Cl3 0.000 0.500 0.388 1
Cl4 0.000 0.500 0.888 1
Cl5 0.500 0.000 0.388 1
Cl6 0.500 0.000 0.888 1
Cl7 0.500 0.500 0.052 1
Cl8 0.500 0.500 0.692 1

=====

Please write out number 1 again, unchanged.
# ScNiPt2 | Alexandria via LeMat-Bulk | PBE | optimized geometry
# Formation energy from the elements = -1.8 eV per formula unit
# Final energy = -6.50 eV/atom
data_ScNiPt2
_chemical_formula_sum 'Sc4 Ni4 Pt8'
_symmetry_space_group_name_H-M 'P 1'
_symmetry_Int_Tables_number 1
_symmetry_space_group_name_Hall 'P 1'
_cell_length_a 3.879
_cell_length_b 3.879
_cell_length_c 17.858
_cell_angle_alpha 90.00
_cell_angle_beta 90.00
_cell_angle_gamma 90.00
loop_
_atom_site_label
_atom_site_fract_x
_atom_site_fract_y
_atom_site_fract_z
_atom_site_occupancy
Sc1 0.000 0.000 0.000 1
Sc2 0.000 0.500 0.250 1
Sc3 0.500 0.000 0.750 1
Sc4 0.500 0.500 0.500 1
Ni1 0.000 0.000 0.500 1
Ni2 0.000 0.500 0.750 1
Ni3 0.500 0.000 0.250 1
Ni4 0.500 0.500 0.000 1
Pt1 0.234 0.250 0.625 1
Pt2 0.250 0.734 0.875 1
Pt3 0.250 0.766 0.375 1
Pt4 0.266 0.250 0.125 1
Pt5 0.734 0.750 0.125 1
Pt6 0.750 0.234 0.375 1
Pt7 0.750 0.266 0.875 1
Pt8 0.766 0.750 0.625 1